# 1
The following is a DFT calculation (PBE) of Th3Mg2In3Ru after structural relaxation.

Cell lengths 8.6858, 8.6858, 3.6546 Å; angles 90.00, 90.00, 120.00 degrees
Space group P-62m (No. 189)
Unique sites:
Th 0.0000 0.2521 0.0000 x3
Mg 0.3333 0.6667 0.0000 x2
In 0.0000 0.6029 0.5000 x3
Ru 0.0000 0.0000 0.5000 x1

Summary:
- ΔE_f (eV/atom) = -0.24
- uncorrected energy (eV/atom) = -5.011

=====

# 2
The following is a DFT calculation (PBE) of La3Tm4In after structural relaxation.

Cell lengths 11.3138, 7.1409, 6.2339 Å; angles 90.00, 90.00, 90.00 degrees
Space group Pmn2_1 (No. 31)
Unique sites:
La 0.0000 0.1287 0.0000 x2
La 0.2358 0.1124 0.3469 x4
Tm 0.0000 0.3852 0.5420 x2
Tm 0.0000 0.6276 0.0279 x2
Tm 0.2410 0.6192 0.3630 x4
In 0.0000 0.8479 0.5307 x2

Summary:
- ΔE_f (eV/atom) = -0.11
- uncorrected energy (eV/atom) = -4.535

=====

# 3
The following is a DFT calculation (PBE) of LiScBiO after structural relaxation.

Cell lengths 3.9692, 4.3353, 4.6099 Å; angles 90.00, 90.00, 90.00 degrees
Space group Pmmm (No. 47)
Unique sites:
Li 0.0000 0.0000 0.0000 x1
Sc 0.5000 0.5000 0.0000 x1
Bi 0.5000 0.0000 0.5000 x1
O 0.0000 0.5000 0.0000 x1

Summary:
- uncorrected formation energy (eV per atom) = -1.453
- uncorrected energy (eV/atom) = -5.724

=====

Number 1: total magnetic moment 0.00 μB/f.u.. Number 2: total magnetic moment 0.00 μB/f.u.. Number 3: total magnetic moment 0.00 μB/f.u..